LaPmPO: optimized geometry, PBE-GGA.

Summary:
SG: Pmc2_1 (26)
Magnetization (μB/f.u.): 0.0
Uncorrected energy (eV/atom): -7.010
Excess energy over the best structure of this formula in the dataset (meV per atom): 0

Unit cell a=4.3461 b=7.8196 c=6.0332 alpha=90.00 beta=90.00 gamma=90.00
Sites, in units of the cell vectors:
La1 0.0000 0.8016 0.9399
P1 0.0000 0.1686 0.9370
P2 0.0000 0.8314 0.4370
O1 0.5000 0.6688 0.8795
Pm1 0.5000 0.6208 0.4977
O2 0.5000 0.3312 0.3795
Pm2 0.5000 0.3792 0.9977
La2 0.0000 0.1984 0.4399

***

LaPmPO: optimized geometry, PBE-GGA.

Summary:
SG: P4/nmm (129)
Magnetization (μB/f.u.): 0.2
Uncorrected energy (eV/atom): -6.840
Excess energy over the best structure of this formula in the dataset (meV per atom): 170

Unit cell a=4.3100 b=4.3100 c=9.3899 alpha=90.00 beta=90.00 gamma=90.00
Sites, in units of the cell vectors:
La1 0.2500 0.7500 0.5000
P1 0.2500 0.2500 0.7101
O1 0.7500 0.2500 0.0000
Pm1 0.7500 0.7500 0.8937
P2 0.7500 0.7500 0.2899
La2 0.7500 0.2500 0.5000
O2 0.2500 0.7500 0.0000
Pm2 0.2500 0.2500 0.1063

***

LaPrPO: optimized geometry, PBE-GGA.

Summary:
SG: P4/nmm (129)
Magnetization (μB/f.u.): 0.3
Uncorrected energy (eV/atom): -6.840
Excess energy over the best structure of this formula in the dataset (meV per atom): 146

Unit cell a=4.3661 b=4.3661 c=9.4617 alpha=90.00 beta=90.00 gamma=90.00
Sites, in units of the cell vectors:
P1 0.0000 0.5000 0.7054
O1 0.0000 0.0000 0.0000
La1 0.5000 0.5000 0.5000
Pr1 0.5000 0.0000 0.8910
La2 0.0000 0.0000 0.5000
P2 0.5000 0.0000 0.2946
O2 0.5000 0.5000 0.0000
Pr2 0.0000 0.5000 0.1090

***

LaPrPO: optimized geometry, PBE-GGA.

Summary:
SG: Pmc2_1 (26)
Magnetization (μB/f.u.): 0.1
Uncorrected energy (eV/atom): -6.987
Excess energy over the best structure of this formula in the dataset (meV per atom): 0

Unit cell a=4.3582 b=7.9881 c=5.9432 alpha=90.00 beta=90.00 gamma=90.00
Sites, in units of the cell vectors:
La1 0.0000 0.7999 0.9406
La2 0.0000 0.2001 0.4407
P1 0.0000 0.8400 0.4396
Pr1 0.5000 0.6250 0.4836
O1 0.5000 0.3285 0.3902
P2 0.0000 0.1600 0.9396
O2 0.5000 0.6715 0.8902
Pr2 0.5000 0.3750 0.9836

***

LaPrPO: optimized geometry, PBE-GGA.

Summary:
SG: P4/nmm (129)
Magnetization (μB/f.u.): 0.3
Uncorrected energy (eV/atom): -6.915
Excess energy over the best structure of this formula in the dataset (meV per atom): 72

Unit cell a=4.4493 b=4.4493 c=9.2869 alpha=90.00 beta=90.00 gamma=90.00
Sites, in units of the cell vectors:
Pr1 0.7500 0.2500 0.5000
P1 0.2500 0.2500 0.7006
P2 0.7500 0.7500 0.2994
O1 0.7500 0.2500 0.0000
O2 0.2500 0.7500 0.0000
La1 0.2500 0.2500 0.1089
Pr2 0.2500 0.7500 0.5000
La2 0.7500 0.7500 0.8911

***

LaPrPO: optimized geometry, PBE-GGA.

Summary:
SG: Pmc2_1 (26)
Magnetization (μB/f.u.): 0.4
Uncorrected energy (eV/atom): -6.977
Excess energy over the best structure of this formula in the dataset (meV per atom): 10

Unit cell a=4.3566 b=8.0217 c=5.8647 alpha=90.00 beta=90.00 gamma=90.00
Sites, in units of the cell vectors:
La1 0.0000 0.3783 0.9799
Pr1 0.5000 0.8061 0.9401
P1 0.5000 0.1584 0.9396
La2 0.0000 0.6217 0.4799
Pr2 0.5000 0.1939 0.4401
O1 0.0000 0.6734 0.8944
P2 0.5000 0.8416 0.4396
O2 0.0000 0.3266 0.3944

***

LaPPtO: optimized geometry, PBE-GGA.

Summary:
SG: Pmc2_1 (26)
Magnetization (μB/f.u.): 0.0
Uncorrected energy (eV/atom): -6.798
Excess energy over the best structure of this formula in the dataset (meV per atom): 476

Unit cell a=3.4525 b=7.8160 c=5.3995 alpha=90.00 beta=90.00 gamma=90.00
Sites, in units of the cell vectors:
Pt1 0.5000 0.2235 0.8519
Pt2 0.5000 0.7765 0.3519
O1 0.5000 0.4738 0.6377
P1 0.0000 0.9610 0.4013
P2 0.0000 0.0390 0.9013
La1 0.0000 0.6484 0.8631
O2 0.5000 0.5262 0.1377
La2 0.0000 0.3516 0.3631

***

LaPPtO: optimized geometry, PBE-GGA.

Summary:
SG: P4/nmm (129)
Magnetization (μB/f.u.): 0.0
Uncorrected energy (eV/atom): -7.274
Excess energy over the best structure of this formula in the dataset (meV per atom): 0

Unit cell a=4.2067 b=4.2067 c=8.1584 alpha=90.00 beta=90.00 gamma=90.00
Sites, in units of the cell vectors:
O1 0.5000 0.5000 0.0000
P1 0.0000 0.5000 0.6460
La1 0.5000 0.0000 0.8582
La2 0.0000 0.5000 0.1418
O2 0.0000 0.0000 0.0000
P2 0.5000 0.0000 0.3540
Pt1 0.0000 0.0000 0.5000
Pt2 0.5000 0.5000 0.5000

***

Which formula does entry 4 have? LaPrPO